Entry 1:
A plane-wave DFT calculation with SCAN was carried out for a crystal of CrCdBr2 relaxed with PBEsol.

Geometry as extended XYZ:
```
4
Lattice="1.816 1.049 9.168 -1.816 1.049 9.168 0.000 -2.097 9.168" Properties=species:S:1:pos:R:3 pbc="T T T"
Cr 0.000 0.000 0.000
Cd 0.000 0.000 13.752
Br 0.000 0.000 7.629
Br 0.000 0.000 19.875
```

The uncorrected formation energy comes out at -502 meV per atom. The value obtained for the density of states at the Fermi level is 3.825 states/eV per cell. As for the space-group type: R-3m. For the total energy, the calculation gives -22.43 eV/atom.

***

Entry 2:
A plane-wave DFT calculation with SCAN was carried out for a crystal of Re2Pt relaxed with PBEsol.

Geometry as extended XYZ:
```
3
Lattice="4.346 0.000 0.000 -2.173 3.764 0.000 0.000 0.000 2.763" Properties=species:S:1:pos:R:3 pbc="T T T"
Re 0.000 2.509 0.000
Re 2.173 1.255 0.000
Pt 0.000 0.000 1.381
```

Its energy of formation is 0.223 eV per atom. The value obtained for the density of states at the Fermi level is 3.621 states/eV per cell. As for the space-group type: P6/mmm. For the total energy, the calculation gives -70.57 eV/atom.

***

Entry 3:
A plane-wave DFT calculation with SCAN was carried out for a crystal of Be2AlF relaxed with PBEsol.

Geometry as extended XYZ:
```
8
Lattice="-2.479 2.479 4.130 2.479 -2.479 4.130 2.479 2.479 -4.130" Properties=species:S:1:pos:R:3 pbc="T T T"
Be 3.718 0.692 -1.033
Be 0.692 1.239 1.033
Be -1.239 1.787 3.098
Be 1.787 1.239 5.163
Al 2.479 0.000 2.065
Al 0.000 0.000 4.130
F 0.000 0.000 0.000
F 0.000 2.479 2.065
```

The uncorrected formation energy comes out at -218 meV per atom. The value obtained for the density of states at the Fermi level is 2.301 states/eV per cell. As for the space-group type: I-42d. For the total energy, the calculation gives -5.22 eV/atom.